Entry 1:
This record from OQMD describes crystalline ErGaCu at its relaxed geometry. The functional is PBE.

Cell: 4.6005 4.6005 4.6005 Å, 60.00 60.00 60.00°
Closest atoms and distances in Å follow each position.
Fractional coordinates of all 3 atoms:
Cu (0.2500, 0.2500, 0.2500)  4 Er 2.82
Er (0.0000, 0.0000, 0.0000)  4 Cu 2.82, 4 Ga 2.82
Ga (0.7500, 0.7500, 0.7500)  4 Er 2.82



Entry 2:
This record from OQMD describes crystalline GdEr2Ga3CuGe2 at its relaxed geometry. The functional is PBE.

Cell: 4.1585 7.0316 7.0316 Å, 120.23 90.00 90.00°
Closest atoms and distances in Å follow each position.
Fractional coordinates of all 9 atoms:
Cu (0.0000, 0.0043, 0.0043)  6 Ga 2.63-2.66, 2 Er 2.81, 1 Gd 2.86
Er (0.0000, 0.9990, 0.4018)  1 Cu 2.81, 4 Ge 2.97
Er (0.0000, 0.4018, 0.9990)  1 Cu 2.81, 4 Ge 2.97
Ga (0.5000, 0.7668, 0.0008)  2 Cu 2.66, 2 Ge 2.73-2.77, 2 Ga 2.83-2.85
Ga (0.5000, 0.2333, 0.2333)  2 Cu 2.63, 2 Ge 2.77, 2 Ga 2.83
Ga (0.5000, 0.0008, 0.7668)  2 Cu 2.66, 2 Ge 2.73-2.77, 2 Ga 2.83-2.85
Gd (0.0000, 0.5968, 0.5968)  1 Cu 2.86, 4 Ge 3.01
Ge (0.5000, 0.6674, 0.3298)  3 Ga 2.73-2.77, 4 Er 2.97, 2 Gd 3.01
Ge (0.5000, 0.3298, 0.6674)  3 Ga 2.73-2.77, 4 Er 2.97, 2 Gd 3.01



Entry 3:
This record from OQMD describes crystalline Gd2ErGa3CuGe2 at its relaxed geometry. The functional is PBE.

Cell: 4.1694 7.0422 7.0422 Å, 119.75 90.00 90.00°
Closest atoms and distances in Å follow each position.
Fractional coordinates of all 9 atoms:
Cu (0.0000, 0.0053, 0.0053)  6 Ga 2.65-2.69, 1 Er 2.79, 2 Gd 2.84
Er (0.0000, 0.3993, 0.3993)  1 Cu 2.79, 4 Ge 2.97
Ga (0.5000, 0.2348, 0.0005)  2 Cu 2.65, 2 Ge 2.75-2.79, 2 Ga 2.85-2.87
Ga (0.5000, 0.0005, 0.2348)  2 Cu 2.65, 2 Ge 2.75-2.79, 2 Ga 2.85-2.87
Ga (0.5000, 0.7656, 0.7656)  2 Cu 2.69, 2 Ge 2.75, 2 Ga 2.87
Gd (0.0000, 0.9987, 0.5990)  1 Cu 2.84, 4 Ge 3.01
Gd (0.0000, 0.5990, 0.9987)  1 Cu 2.84, 4 Ge 3.01
Ge (0.5000, 0.6627, 0.3341)  3 Ga 2.75-2.79, 2 Er 2.97, 4 Gd 3.01
Ge (0.5000, 0.3341, 0.6627)  3 Ga 2.75-2.79, 2 Er 2.97, 4 Gd 3.01



Entry 4:
This record from OQMD describes crystalline GdEr2Ga3Cu2Ni at its relaxed geometry. The functional is PBE.

Cell: 3.9828 6.9189 6.9189 Å, 119.88 90.00 90.00°
Closest atoms and distances in Å follow each position.
Fractional coordinates of all 9 atoms:
Cu (0.5000, 0.6679, 0.3296)  3 Ga 2.67-2.73, 4 Er 2.88-2.89, 2 Gd 2.91
Cu (0.5000, 0.3296, 0.6679)  3 Ga 2.67-2.73, 4 Er 2.88-2.89, 2 Gd 2.91
Er (0.0000, 0.9992, 0.4082)  1 Ni 2.81, 4 Cu 2.88-2.89
Er (0.0000, 0.4082, 0.9992)  1 Ni 2.81, 4 Cu 2.88-2.89
Ga (0.5000, 0.7642, 0.0014)  2 Ni 2.59, 2 Cu 2.67-2.73, 2 Ga 2.83-2.84
Ga (0.5000, 0.2362, 0.2362)  2 Ni 2.56, 2 Cu 2.72, 2 Ga 2.83
Ga (0.5000, 0.0014, 0.7642)  2 Ni 2.59, 2 Cu 2.67-2.73, 2 Ga 2.83-2.84
Gd (0.0000, 0.5897, 0.5897)  1 Ni 2.87, 4 Cu 2.91, 6 Ga 3.16-3.18
Ni (0.0000, 0.0037, 0.0037)  6 Ga 2.56-2.59, 2 Er 2.81



Entry 5:
This record from OQMD describes crystalline Er2ScGa3CuGe2 at its relaxed geometry. The functional is PBE.

Cell: 4.0689 6.9010 6.9010 Å, 119.27 90.00 90.00°
Closest atoms and distances in Å follow each position.
Fractional coordinates of all 9 atoms:
Cu (0.0000, 0.0085, 0.0085)  6 Ga 2.59-2.66, 1 Sc 2.73, 2 Er 2.81
Er (0.0000, 0.9980, 0.5957)  1 Cu 2.81, 4 Ge 2.95-2.96, 2 Ga 3.15
Er (0.0000, 0.5957, 0.9980)  1 Cu 2.81, 4 Ge 2.95-2.96, 2 Ga 3.15
Ga (0.5000, 0.2380, 0.0021)  2 Cu 2.59, 2 Ge 2.68-2.76, 2 Ga 2.81-2.86
Ga (0.5000, 0.0021, 0.2380)  2 Cu 2.59, 2 Ge 2.68-2.76, 2 Ga 2.81-2.86
Ga (0.5000, 0.7636, 0.7636)  2 Cu 2.66, 2 Ge 2.67, 2 Ga 2.86
Ge (0.5000, 0.6587, 0.3361)  3 Ga 2.67-2.76, 2 Sc 2.88, 4 Er 2.95-2.96
Ge (0.5000, 0.3361, 0.6587)  3 Ga 2.67-2.76, 2 Sc 2.88, 4 Er 2.95-2.96
Sc (0.0000, 0.3992, 0.3992)  1 Cu 2.73, 4 Ge 2.88



Entry 6:
This record from OQMD describes crystalline Tb2ErGa3CuGe2 at its relaxed geometry. The functional is PBE.

Cell: 4.1601 7.0272 7.0272 Å, 119.88 90.00 90.00°
Closest atoms and distances in Å follow each position.
Fractional coordinates of all 9 atoms:
Cu (0.0000, 0.0019, 0.0019)  6 Ga 2.64-2.66, 1 Er 2.82, 2 Tb 2.83
Er (0.0000, 0.4018, 0.4018)  1 Cu 2.82, 4 Ge 2.98
Ga (0.5000, 0.2337, 0.0007)  2 Cu 2.64, 2 Ge 2.76-2.78, 2 Ga 2.83-2.85
Ga (0.5000, 0.0007, 0.2337)  2 Cu 2.64, 2 Ge 2.76-2.78, 2 Ga 2.83-2.85
Ga (0.5000, 0.7662, 0.7662)  2 Cu 2.66, 2 Ge 2.75, 2 Ga 2.85
Ge (0.5000, 0.6649, 0.3338)  3 Ga 2.75-2.78, 2 Er 2.98, 4 Tb 2.99
Ge (0.5000, 0.3338, 0.6649)  3 Ga 2.75-2.78, 2 Er 2.98, 4 Tb 2.99
Tb (0.0000, 0.9996, 0.5975)  1 Cu 2.83, 4 Ge 2.99
Tb (0.0000, 0.5975, 0.9996)  1 Cu 2.83, 4 Ge 2.99



Entry 7:
This record from OQMD describes crystalline Er2TmGa3CuGe2 at its relaxed geometry. The functional is PBE.

Cell: 4.1183 6.9923 6.9923 Å, 119.95 90.00 90.00°
Closest atoms and distances in Å follow each position.
Fractional coordinates of all 9 atoms:
Cu (0.0000, 0.0009, 0.0009)  6 Ga 2.63-2.64, 1 Tm 2.80, 2 Er 2.81
Er (0.0000, 0.9998, 0.5982)  1 Cu 2.81, 4 Ge 2.97
Er (0.0000, 0.5982, 0.9998)  1 Cu 2.81, 4 Ge 2.97
Ga (0.5000, 0.2352, 0.0003)  2 Cu 2.63, 2 Ge 2.74-2.75, 2 Ga 2.85
Ga (0.5000, 0.0003, 0.2352)  2 Cu 2.63, 2 Ge 2.74-2.75, 2 Ga 2.85
Ga (0.5000, 0.7648, 0.7648)  2 Cu 2.64, 2 Ge 2.74, 2 Ga 2.85
Ge (0.5000, 0.6659, 0.3335)  3 Ga 2.74-2.75, 2 Tm 2.96, 4 Er 2.97
Ge (0.5000, 0.3335, 0.6659)  3 Ga 2.74-2.75, 2 Tm 2.96, 4 Er 2.97
Tm (0.0000, 0.4015, 0.4015)  1 Cu 2.80, 4 Ge 2.96



Entry 8:
This record from OQMD describes crystalline HoErGa2Cu2 at its relaxed geometry. The functional is PBE.

Cell: 4.3419 4.3419 6.9441 Å, 90.00 90.00 120.00°
Closest atoms and distances in Å follow each position.
Fractional coordinates of all 6 atoms:
Cu (0.6667, 0.3333, 0.2570)  3 Ga 2.51
Cu (0.6667, 0.3333, 0.7430)  3 Ga 2.51
Er (0.0000, 0.0000, 0.0000)  6 Ga 2.99, 6 Cu 3.08
Ga (0.3333, 0.6667, 0.2342)  3 Cu 2.51
Ga (0.3333, 0.6667, 0.7658)  3 Cu 2.51
Ho (0.0000, 0.0000, 0.5000)  6 Cu 3.02, 6 Ga 3.11



Result set for M_tot: 0.00; 0.00; 0.00; 0.00; 0.00; 0.00; 0.00; 0.00 Bohr magnetons per cell, one per record in the order listed.
Result set for final energy: -3.564; -4.626; -4.643; -4.523; -4.786; -4.636; -4.595; -4.287 eV/atom, one per record in the order listed.